No. 1
# KLa2US5

A relaxed structure of KLa2US5 (GGA-PBE, Alexandria).

Cell: 5.0667 7.2895 8.3557 Å, 115.86 107.65 90.00°
Last column: nearest neighbours and their distance in Å.
Atoms (fractional coordinates):
K 0.0000 0.5000 0.0000  10 S 3.64-3.82
La 0.2047 0.2047 0.4093  7 S 2.83-3.16
La 0.7953 0.7953 0.5907  7 S 2.83-3.16
U 0.5000 0.0000 0.0000  6 S 2.53-2.72
S 0.6490 0.9130 0.2980  1 U 2.72, 1 La 2.83
S 0.3510 0.0870 0.7020  1 U 2.72, 1 La 2.83
S 0.3510 0.6150 0.7020  1 U 2.72, 1 La 2.83
S 0.6490 0.3850 0.2980  1 U 2.72, 1 La 2.83
S 0.0000 0.0000 0.0000  2 U 2.53

Energy   -0.4782 Ry/atom
Crystal system   orthorhombic
Symmetry   Immm, No. 71
V   261 Å³ per cell
Fermi-level density of states   6.4 states/eV/cell

=====

No. 2
# SrMg2Cu

A relaxed structure of SrMg2Cu (GGA-PBE, Alexandria).

Cell: 3.5070 3.5103 8.0704 Å, 90.00 90.00 90.00°
Last column: nearest neighbours and their distance in Å.
Atoms (fractional coordinates):
Cu 0.5000 0.5000 0.8094  4 Mg 2.75
Mg 0.0000 0.0000 0.9553  4 Cu 2.75
Mg 0.5000 0.5000 0.1974  1 Cu 3.13, 6 Mg 3.16-3.51
Sr 0.0000 0.0000 0.5379  4 Cu 3.31, 5 Mg 3.37-3.70, 4 Sr 3.51

Energy   -0.1641 Ry/atom
Crystal system   tetragonal
Symmetry   P4mm, No. 99
E_form   0.01 eV/atom
V   99 Å³ per cell
Fermi-level density of states   1.6 states/eV/cell

=====

No. 3
# CsTiGaO4

A relaxed structure of CsTiGaO4 (GGA-PBE, Alexandria).

Cell: 5.8784 5.4822 10.4023 Å, 90.00 132.63 90.00°
Last column: nearest neighbours and their distance in Å.
Atoms (fractional coordinates):
Cs 0.6384 0.7500 0.8994  3 O 2.80-3.06
Cs 0.3616 0.2500 0.1006  3 O 2.80-3.06
Ti 0.2532 0.7500 0.3932  2 O 1.70-1.90
Ti 0.7468 0.2500 0.6068  2 O 1.70-1.90
Ga 0.8393 0.7500 0.4568  5 O 1.89-2.06
Ga 0.1607 0.2500 0.5432  5 O 1.89-2.06
O 0.0198 0.4872 0.6312  1 Ti 1.94, 2 Ga 1.97-2.06
O 0.9802 0.9872 0.3688  1 Ti 1.94, 2 Ga 1.97-2.06
O 0.9802 0.5128 0.3688  1 Ti 1.94, 2 Ga 1.97-2.06
O 0.0198 0.0128 0.6312  1 Ti 1.94, 2 Ga 1.97-2.06
O 0.4020 0.7500 0.2788  1 Ga 1.89, 1 Ti 1.90
O 0.5980 0.2500 0.7212  1 Ga 1.89, 1 Ti 1.90
O 0.5811 0.7500 0.6095  1 Ti 1.70
O 0.4189 0.2500 0.3905  1 Ti 1.70

Energy   -0.4939 Ry/atom
Crystal system   monoclinic
Symmetry   P2_1/m, No. 11
V   247 Å³ per cell
Fermi-level density of states   0.0 states/eV/cell

=====

No. 4
# Ag2Br

A relaxed structure of Ag2Br (GGA-PBE, Alexandria).

Cell: 5.0105 5.0105 6.0626 Å, 90.00 90.00 120.00°
Last column: nearest neighbours and their distance in Å.
Atoms (fractional coordinates):
Ag 0.0000 0.0000 0.0000  8 Ag 3.03-3.27, 6 Br 3.27
Ag 0.0000 0.0000 0.5000  8 Ag 3.03-3.27, 6 Br 3.27
Ag 0.3333 0.6667 0.2500  5 Br 2.89-3.03
Ag 0.6667 0.3333 0.7500  5 Br 2.89-3.03
Br 0.6667 0.3333 0.2500  5 Ag 2.89-3.03
Br 0.3333 0.6667 0.7500  5 Ag 2.89-3.03

Energy   -0.1675 Ry/atom
Crystal system   hexagonal
Symmetry   P6_3/mmc, No. 194
V   132 Å³ per cell
Fermi-level density of states   2.4 states/eV/cell

=====

No. 5
# AgPbCl2

A relaxed structure of AgPbCl2 (GGA-PBE, Alexandria).

Cell: 5.6945 3.4971 6.1094 Å, 64.61 90.00 90.00°
Last column: nearest neighbours and their distance in Å.
Atoms (fractional coordinates):
Pb 0.0000 0.5234 0.3813  4 Cl 2.82-3.02
Ag 0.5000 0.8155 0.8663  4 Cl 2.79-2.85
Cl 0.0000 0.7814 0.8756  2 Pb 2.82-3.02, 2 Ag 2.85
Cl 0.5000 0.3797 0.3767  2 Ag 2.79-2.82, 2 Pb 2.89

Energy   -0.2210 Ry/atom
Crystal system   monoclinic
Symmetry   Pm, No. 6
V   110 Å³ per cell
Fermi-level density of states   1.3 states/eV/cell

=====

No. 6
# PaGa4Pd7

A relaxed structure of PaGa4Pd7 (GGA-PBE, Alexandria).

Cell: 4.9220 7.8486 6.2504 Å, 80.13 66.81 71.73°
Last column: nearest neighbours and their distance in Å.
Atoms (fractional coordinates):
Pa 0.0000 0.0000 0.0000  2 Pd 2.46
Ga 0.5842 0.2196 0.6120  6 Pd 2.50-2.77
Ga 0.4158 0.7804 0.3880  6 Pd 2.50-2.77
Ga 0.7158 0.6626 0.9058  6 Pd 2.52-2.75
Ga 0.2842 0.3374 0.0942  6 Pd 2.52-2.75
Pd 0.7788 0.8837 0.5587  4 Ga 2.52-2.77, 2 Pd 2.67-2.72
Pd 0.2212 0.1163 0.4413  4 Ga 2.52-2.77, 2 Pd 2.67-2.72
Pd 0.0643 0.6589 0.2125  3 Ga 2.53-2.83, 1 Pd 2.67, 1 Pa 2.76
Pd 0.9357 0.3411 0.7875  3 Ga 2.53-2.83, 1 Pd 2.67, 1 Pa 2.76
Pd 0.3465 0.5672 0.7398  5 Ga 2.50-2.75
Pd 0.5000 0.0000 0.0000  2 Pa 2.46, 4 Ga 2.60-2.69, 2 Pd 2.72
Pd 0.6535 0.4328 0.2602  5 Ga 2.50-2.75

Energy   -0.3875 Ry/atom
Crystal system   monoclinic
Symmetry   C2/m, No. 12
E_form   -0.44 eV/atom
V   210 Å³ per cell
Fermi-level density of states   6.1 states/eV/cell

=====

No. 7
# MnCdIr2

A relaxed structure of MnCdIr2 (GGA-PBE, Alexandria).

Cell: 2.8154 2.8154 7.9986 Å, 90.00 90.00 90.00°
Last column: nearest neighbours and their distance in Å.
Atoms (fractional coordinates):
Cd 0.5000 0.5000 0.7527  4 Cd 2.82, 4 Ir 2.93, 4 Mn 2.98
Ir 0.0000 0.0000 0.0221  8 Ir 2.70-2.82, 4 Cd 2.93
Ir 0.5000 0.5000 0.2505  4 Mn 2.68, 8 Ir 2.70-2.82
Mn 0.0000 0.0000 0.4747  4 Ir 2.68, 4 Mn 2.82, 4 Cd 2.98

Energy   -0.5027 Ry/atom
Crystal system   tetragonal
Symmetry   P4mm, No. 99
E_form   0.11 eV/atom
V   63 Å³ per cell
Fermi-level density of states   3.7 states/eV/cell

=====

No. 8
# ZrTaN2F

A relaxed structure of ZrTaN2F (GGA-PBE, Alexandria).

Cell: 4.2863 4.2863 3.9282 Å, 90.00 90.00 90.00°
Last column: nearest neighbours and their distance in Å.
Atoms (fractional coordinates):
N 0.0000 0.5000 0.0000  2 Zr 2.14
N 0.5000 0.0000 0.0000  2 Zr 2.14
F 0.0000 0.0000 0.5000  2 Zr 1.96
Zr 0.0000 0.0000 0.0000  2 F 1.96, 4 N 2.14
Ta 0.5000 0.5000 0.5000  8 N 2.91, 4 F 3.03

Energy   -0.5848 Ry/atom
Crystal system   tetragonal
Symmetry   P4/mmm, No. 123
V   72 Å³ per cell
Fermi-level density of states   3.0 states/eV/cell

=====

No. 9
# Sm4HgSe5

A relaxed structure of Sm4HgSe5 (GGA-PBE, Alexandria).

Cell: 4.1601 9.2131 9.9254 Å, 108.13 102.10 90.00°
Last column: nearest neighbours and their distance in Å.
Atoms (fractional coordinates):
Sm 0.3257 0.9222 0.6514  5 Se 2.86-2.95
Sm 0.0147 0.7301 0.0294  4 Se 2.85-2.92
Sm 0.6743 0.0778 0.3486  5 Se 2.86-2.95
Sm 0.9853 0.2699 0.9706  4 Se 2.85-2.92
Hg 0.5000 0.0000 0.0000  6 Sm 3.23-3.32, 4 Se 3.45
Se 0.8727 0.7580 0.7455  3 Sm 2.85-2.89
Se 0.8291 0.1509 0.6581  4 Sm 2.86-2.95
Se 0.1709 0.8491 0.3419  4 Sm 2.86-2.95
Se 0.5000 0.5000 0.0000  4 Sm 2.92
Se 0.1273 0.2420 0.2545  3 Sm 2.85-2.89

Energy   -0.3777 Ry/atom
Crystal system   monoclinic
Symmetry   C2/m, No. 12
V   353 Å³ per cell
Fermi-level density of states   1.5 states/eV/cell

=====

No. 10
# LiAc2ScSe5

A relaxed structure of LiAc2ScSe5 (GGA-PBE, Alexandria).

Cell: 4.2556 9.1069 12.4792 Å, 90.00 90.00 103.51°
Last column: nearest neighbours and their distance in Å.
Atoms (fractional coordinates):
Li 0.5563 0.1126 0.9611  4 Se 2.45-2.69
Li 0.4437 0.8874 0.4611  4 Se 2.45-2.69
Ac 0.8712 0.7424 0.8050  8 Se 3.11-3.34
Ac 0.1082 0.2163 0.6866  8 Se 3.12-3.39
Ac 0.1288 0.2576 0.3050  8 Se 3.11-3.34
Ac 0.8918 0.7837 0.1866  8 Se 3.12-3.39
Sc 0.8026 0.6052 0.5111  6 Se 2.60-2.82
Sc 0.1974 0.3948 0.0111  6 Se 2.60-2.82
Se 0.3538 0.7076 0.0011  1 Sc 2.77
Se 0.6913 0.3826 0.8626  1 Li 2.69, 2 Sc 2.82
Se 0.4978 0.9955 0.7803  1 Li 2.48
Se 0.2855 0.5710 0.6568  2 Sc 2.81
Se 0.9454 0.8909 0.5592  2 Li 2.45, 1 Sc 2.60
Se 0.6462 0.2924 0.5011  1 Sc 2.77
Se 0.3087 0.6174 0.3626  1 Li 2.69, 2 Sc 2.82
Se 0.5022 0.0045 0.2803  1 Li 2.48
Se 0.7145 0.4290 0.1568  2 Sc 2.81
Se 0.0546 0.1091 0.0592  2 Li 2.45, 1 Sc 2.60

Energy   -0.4100 Ry/atom
Crystal system   orthorhombic
Symmetry   Cmc2_1, No. 36
V   470 Å³ per cell

=====

No. 11
# Na2FeSe2

A relaxed structure of Na2FeSe2 (GGA-PBE, Alexandria).

Cell: 6.9923 6.9923 4.4074 Å, 90.00 90.00 90.00°
Last column: nearest neighbours and their distance in Å.
Atoms (fractional coordinates):
Na 0.1440 0.6440 0.5000  6 Se 2.83-3.15, 1 Na 2.85
Na 0.6440 0.8560 0.5000  6 Se 2.83-3.15, 1 Na 2.85
Na 0.8560 0.3560 0.5000  6 Se 2.83-3.15, 1 Na 2.85
Na 0.3560 0.1440 0.5000  6 Se 2.83-3.15, 1 Na 2.85
Fe 0.0000 0.0000 0.0000  4 Se 2.58
Fe 0.5000 0.5000 0.0000  4 Se 2.58
Se 0.3229 0.8229 0.0000  2 Fe 2.58, 2 Na 2.83
Se 0.8229 0.6771 0.0000  2 Fe 2.58, 2 Na 2.83
Se 0.6771 0.1771 0.0000  2 Fe 2.58, 2 Na 2.83
Se 0.1771 0.3229 0.0000  2 Fe 2.58, 2 Na 2.83

Energy   -0.2992 Ry/atom
Crystal system   tetragonal
Symmetry   P4/mbm, No. 127
V   215 Å³ per cell
Fermi-level density of states   8.3 states/eV/cell

=====

No. 12
# OsSIO2

A relaxed structure of OsSIO2 (GGA-PBE, Alexandria).

Cell: 3.6958 3.6958 6.5558 Å, 90.00 90.00 90.00°
Last column: nearest neighbours and their distance in Å.
Atoms (fractional coordinates):
I 0.0000 0.0000 0.5000  4 Os 2.61
S 0.0000 0.0000 0.0000  4 O 1.85
Os 0.5000 0.5000 0.5000  4 I 2.61
O 0.0000 0.5000 0.0000  2 S 1.85
O 0.5000 0.0000 0.0000  2 S 1.85

Energy   -0.3194 Ry/atom
Crystal system   tetragonal
Symmetry   P4/mmm, No. 123
V   90 Å³ per cell
Fermi-level density of states   3.2 states/eV/cell

=====

No. 13
# Pm3Al4Pt4

A relaxed structure of Pm3Al4Pt4 (GGA-PBE, Alexandria).

Cell: 4.2079 7.2502 8.3102 Å, 115.86 104.67 90.00°
Last column: nearest neighbours and their distance in Å.
Atoms (fractional coordinates):
Pm 0.1197 0.1197 0.2395  6 Pt 3.11-3.15, 6 Al 3.16-3.23, 1 Pm 3.44
Pm 0.8803 0.8803 0.7605  6 Pt 3.11-3.15, 6 Al 3.16-3.23, 1 Pm 3.44
Pm 0.0000 0.5000 0.0000  6 Pt 2.99-3.11
Al 0.3218 0.1255 0.6436  4 Pt 2.60-2.67, 1 Al 2.85
Al 0.6782 0.4819 0.3564  4 Pt 2.60-2.67, 1 Al 2.85
Al 0.6782 0.8745 0.3564  4 Pt 2.60-2.67, 1 Al 2.85
Al 0.3218 0.5181 0.6436  4 Pt 2.60-2.67, 1 Al 2.85
Pt 0.2170 0.7170 0.4341  6 Al 2.60-2.67
Pt 0.7830 0.2830 0.5659  6 Al 2.60-2.67
Pt 0.5000 0.7921 0.0000  2 Al 2.65
Pt 0.5000 0.2079 0.0000  2 Al 2.65

Energy   -0.4381 Ry/atom
Crystal system   orthorhombic
Symmetry   Immm, No. 71
E_form   -1.11 eV/atom
V   219 Å³ per cell
Fermi-level density of states   5.4 states/eV/cell

=====

No. 14
# AsPt3Rh

A relaxed structure of AsPt3Rh (GGA-PBE, Alexandria).

Cell: 4.6196 4.6196 4.6196 Å, 90.00 90.00 90.00°
Last column: nearest neighbours and their distance in Å.
Atoms (fractional coordinates):
As 0.0000 0.0000 0.0000  6 Pt 2.31
Rh 0.5000 0.5000 0.5000  12 Pt 3.27
Pt 0.0000 0.5000 0.0000  2 As 2.31
Pt 0.0000 0.0000 0.5000  2 As 2.31
Pt 0.5000 0.0000 0.0000  2 As 2.31

Energy   -0.3847 Ry/atom
Crystal system   cubic
Symmetry   Pm-3m, No. 221
E_form   0.79 eV/atom
V   99 Å³ per cell
Fermi-level density of states   11.8 states/eV/cell

=====

No. 15
# RbIn2Ge2

A relaxed structure of RbIn2Ge2 (GGA-PBE, Alexandria).

Cell: 4.9323 4.9323 6.8134 Å, 68.78 68.78 90.00°
Last column: nearest neighbours and their distance in Å.
Atoms (fractional coordinates):
Ge 0.7500 0.2500 0.5000  4 In 2.86
Ge 0.2500 0.7500 0.5000  4 In 2.86
Rb 0.0000 0.0000 0.0000  8 In 3.79, 8 Ge 3.83
In 0.3736 0.3736 0.2527  4 Ge 2.86, 1 In 2.96
In 0.6264 0.6264 0.7473  4 Ge 2.86, 1 In 2.96

Energy   -0.2343 Ry/atom
Crystal system   tetragonal
Symmetry   I4/mmm, No. 139
E_form   -0.05 eV/atom
V   142 Å³ per cell
Fermi-level density of states   2.1 states/eV/cell

=====

No. 16
# CaHf2I

A relaxed structure of CaHf2I (GGA-PBE, Alexandria).

Cell: 4.2365 4.2365 12.7675 Å, 80.45 80.45 90.00°
Last column: nearest neighbours and their distance in Å.
Atoms (fractional coordinates):
I 0.0000 0.0000 0.0000  4 Ca 3.00
I 0.7500 0.2500 0.5000  4 Ca 3.00
Ca 0.5000 0.5000 0.0000  4 I 3.00
Ca 0.2500 0.7500 0.5000  4 I 3.00
Hf 0.6217 0.1250 0.2500  4 Hf 2.98-3.02
Hf 0.1283 0.6250 0.2500  4 Hf 2.98-3.02
Hf 0.3750 0.3783 0.7500  4 Hf 2.98-3.02
Hf 0.8750 0.8717 0.7500  4 Hf 2.98-3.02

Energy   -0.4026 Ry/atom
Crystal system   tetragonal
Symmetry   I-42d, No. 122
V   223 Å³ per cell
Fermi-level density of states   8.3 states/eV/cell

=====

No. 17
# Al3Fe2Ir

A relaxed structure of Al3Fe2Ir (GGA-PBE, Alexandria).

Cell: 2.9342 2.9342 8.6923 Å, 90.00 90.00 90.00°
Last column: nearest neighbours and their distance in Å.
Atoms (fractional coordinates):
Al 0.0000 0.0000 0.0000  8 Fe 2.49, 2 Al 2.78
Al 0.0000 0.0000 0.6803  4 Fe 2.50, 4 Ir 2.60, 1 Al 2.78
Al 0.0000 0.0000 0.3197  4 Fe 2.50, 4 Ir 2.60, 1 Al 2.78
Fe 0.5000 0.5000 0.8414  8 Al 2.49-2.50, 1 Fe 2.76
Fe 0.5000 0.5000 0.1586  8 Al 2.49-2.50, 1 Fe 2.76
Ir 0.5000 0.5000 0.5000  8 Al 2.60

Energy   -0.4940 Ry/atom
Crystal system   tetragonal
Symmetry   P4/mmm, No. 123
E_form   -0.55 eV/atom
V   75 Å³ per cell
Fermi-level density of states   3.8 states/eV/cell

=====

No. 18
# CuTcF6

A relaxed structure of CuTcF6 (GGA-PBE, Alexandria).

Cell: 5.0388 5.0388 9.4350 Å, 90.00 90.00 120.00°
Last column: nearest neighbours and their distance in Å.
Atoms (fractional coordinates):
Cu 0.3333 0.6667 0.2500  6 F 2.08
Cu 0.6667 0.3333 0.7500  6 F 2.08
Tc 0.0000 0.0000 0.5000  6 F 1.95
Tc 0.0000 0.0000 0.0000  6 F 1.95
F 0.3086 0.3222 0.3803  1 Tc 1.95, 1 Cu 2.08
F 0.6914 0.6778 0.6197  1 Tc 1.95, 1 Cu 2.08
F 0.0136 0.6914 0.3803  1 Tc 1.95, 1 Cu 2.08
F 0.3086 0.9864 0.1197  1 Tc 1.95, 1 Cu 2.08
F 0.9864 0.3086 0.6197  1 Tc 1.95, 1 Cu 2.08
F 0.6914 0.0136 0.8803  1 Tc 1.95, 1 Cu 2.08
F 0.6778 0.9864 0.3803  1 Tc 1.95, 1 Cu 2.08
F 0.0136 0.3222 0.1197  1 Tc 1.95, 1 Cu 2.08
F 0.3222 0.0136 0.6197  1 Tc 1.95, 1 Cu 2.08
F 0.9864 0.6778 0.8803  1 Tc 1.95, 1 Cu 2.08
F 0.6778 0.6914 0.1197  1 Tc 1.95, 1 Cu 2.08
F 0.3222 0.3086 0.8803  1 Tc 1.95, 1 Cu 2.08

Energy   -0.3748 Ry/atom
Crystal system   trigonal
Symmetry   P-31c, No. 163
V   207 Å³ per cell
Fermi-level density of states   12.0 states/eV/cell

=====

No. 19
# Na2PmGeSe4

A relaxed structure of Na2PmGeSe4 (GGA-PBE, Alexandria).

Cell: 8.3199 8.3199 8.5071 Å, 120.75 120.75 90.32°
Last column: nearest neighbours and their distance in Å.
Atoms (fractional coordinates):
Na 0.5000 0.0000 0.0000  6 Se 2.95-2.97
Na 0.5000 0.0000 0.5000  6 Se 2.95-2.97
Na 0.0000 0.0000 0.5000  6 Se 3.10-3.11
Na 0.5000 0.5000 0.0000  6 Se 3.10-3.11
Pm 0.0000 0.5000 0.0000  6 Se 2.93-2.95
Pm 0.0000 0.5000 0.5000  6 Se 2.93-2.95
Ge 0.5000 0.5000 0.5000  6 Se 2.77-2.79
Ge 0.0000 0.0000 0.0000  6 Se 2.77-2.79
Se 0.2341 0.7619 0.9980  1 Ge 2.79, 2 Pm 2.93, 3 Na 2.95-3.11
Se 0.7381 0.2659 0.5020  1 Ge 2.79, 2 Pm 2.93, 3 Na 2.95-3.11
Se 0.2619 0.7341 0.4980  1 Ge 2.79, 2 Pm 2.93, 3 Na 2.95-3.11
Se 0.7659 0.2381 0.0020  1 Ge 2.79, 2 Pm 2.93, 3 Na 2.95-3.11
Se 0.7511 0.7490 0.9729  2 Ge 2.77, 1 Pm 2.95, 1 Na 2.97
Se 0.7510 0.7489 0.5271  2 Ge 2.77, 1 Pm 2.95, 1 Na 2.97
Se 0.2490 0.2511 0.4729  2 Ge 2.77, 1 Pm 2.95, 1 Na 2.97
Se 0.2489 0.2510 0.0271  2 Ge 2.77, 1 Pm 2.95, 1 Na 2.97

Energy   -0.3171 Ry/atom
Crystal system   orthorhombic
Symmetry   Imma, No. 74
V   406 Å³ per cell
Fermi-level density of states   4.3 states/eV/cell

=====

No. 20
# Ba2Li2Sb2H

A relaxed structure of Ba2Li2Sb2H (GGA-PBE, Alexandria).

Cell: 4.8242 4.8242 9.0680 Å, 105.43 105.43 90.00°
Last column: nearest neighbours and their distance in Å.
Atoms (fractional coordinates):
Ba 0.1591 0.1591 0.3181  1 H 2.67
Ba 0.8409 0.8409 0.6819  1 H 2.67
Li 0.0000 0.5000 0.0000  2 H 2.41
Li 0.5000 0.0000 0.0000  2 H 2.41
Sb 0.3901 0.3901 0.7802  4 Li 3.04
Sb 0.6099 0.6099 0.2198  4 Li 3.04
H 0.0000 0.0000 0.0000  4 Li 2.41, 2 Ba 2.67

Energy   -0.2535 Ry/atom
Crystal system   tetragonal
Symmetry   I4/mmm, No. 139
V   196 Å³ per cell
Fermi-level density of states   4.6 states/eV/cell